<1>
The following is a DFT calculation (meta-GGA SCAN) of a PBEsol-optimized structure of CoRe2Cl.

Its density of states at the Fermi level is 2.953 states/eV/cell. Its space group is F-43m, No. 216.

abc: 4.2891 4.2891 4.2891
angles: 60.00 60.00 60.00
Fractional positions:
Co 0.0000 0.0000 0.0000
Re 0.2500 0.2500 0.2500
Re 0.5000 0.5000 0.5000
Cl 0.7500 0.7500 0.7500

---

<2>
The following is a DFT calculation (meta-GGA SCAN) of a PBEsol-optimized structure of CoRe2Cl.

Its density of states at the Fermi level is 3.022 states/eV/cell. Its space group is Cmm2, No. 35.

abc: 2.7554 2.7554 8.4783
angles: 90.00 90.00 117.69
Fractional positions:
Co 0.0000 0.0000 0.0000
Re 0.0000 0.0000 0.5006
Re 0.5000 0.5000 0.7545
Cl 0.5000 0.5000 0.2167

---

So which one is most stable? That would be <2>, about 546 meV/atom below the next structure.

---

<1>
The following is a DFT calculation (meta-GGA SCAN) of a PBEsol-optimized structure of HgPtPb.

Its density of states at the Fermi level is 0.956 states/eV/cell. Its space group is F-43m, No. 216.

abc: 4.6125 4.6125 4.6125
angles: 60.00 60.00 60.00
Fractional positions:
Hg 0.0000 0.0000 0.0000
Pt 0.2500 0.2500 0.2500
Pb 0.5000 0.5000 0.5000

---

<2>
The following is a DFT calculation (meta-GGA SCAN) of a PBEsol-optimized structure of HgPtPb.

Its density of states at the Fermi level is 0.805 states/eV/cell. Its space group is Imm2, No. 44.

abc: 6.3706 6.3706 6.3706
angles: 151.51 148.21 43.21
Fractional positions:
Hg 0.0000 0.0000 0.0000
Pt 0.6405 0.6405 0.0000
Pb 0.2876 0.2876 0.0000

---

So which one is most stable? That would be <1>, about 155 meV/atom below the next structure.

---

<1>
The following is a DFT calculation (meta-GGA SCAN) of a PBEsol-optimized structure of Li2MnP2O7.

Its density of states at the Fermi level is 0.000 states/eV/cell. Its space group is P2_1/c, No. 14.

abc: 5.0681 13.5962 9.1399
angles: 90.00 120.77 90.00
Fractional positions:
Li 0.0431 0.0965 0.3600
Li 0.0431 0.4035 0.8600
Li 0.4226 0.1931 0.1711
Li 0.4226 0.3069 0.6711
Li 0.5774 0.6931 0.3289
Li 0.5774 0.8069 0.8289
Li 0.9569 0.5965 0.1400
Li 0.9569 0.9035 0.6400
Mn 0.0157 0.1626 0.7276
Mn 0.0157 0.3374 0.2276
Mn 0.9843 0.6626 0.7724
Mn 0.9843 0.8374 0.2724
P 0.2767 0.6725 0.5334
P 0.2767 0.8275 0.0334
P 0.4843 0.5251 0.7816
P 0.4843 0.9749 0.2816
P 0.5157 0.0251 0.7184
P 0.5157 0.4749 0.2184
P 0.7233 0.1725 0.9666
P 0.7233 0.3275 0.4666
O 0.0019 0.1858 0.1470
O 0.0019 0.3142 0.6470
O 0.2268 0.7258 0.6649
O 0.2268 0.7742 0.1649
O 0.2288 0.5298 0.8250
O 0.2288 0.9702 0.3250
O 0.2617 0.1025 0.6199
O 0.2617 0.3975 0.1199
O 0.3097 0.5576 0.5792
O 0.3097 0.9424 0.0792
O 0.3893 0.5758 0.2131
O 0.3893 0.9242 0.7131
O 0.4224 0.2027 0.9564
O 0.4224 0.2973 0.4564
O 0.5776 0.7027 0.5436
O 0.5776 0.7973 0.0436
O 0.6107 0.0758 0.2869
O 0.6107 0.4242 0.7869
O 0.6903 0.0576 0.9208
O 0.6903 0.4424 0.4208
O 0.7383 0.6025 0.8801
O 0.7383 0.8975 0.3801
O 0.7712 0.0298 0.6750
O 0.7712 0.4702 0.1750
O 0.7732 0.2258 0.8351
O 0.7732 0.2742 0.3351
O 0.9981 0.6858 0.3530
O 0.9981 0.8142 0.8530

---

<2>
The following is a DFT calculation (meta-GGA SCAN) of a PBEsol-optimized structure of Li2MnP2O7.

Its density of states at the Fermi level is 0.000 states/eV/cell. Its space group is P-1, No. 2.

abc: 5.1524 7.2247 8.2716
angles: 65.43 85.67 81.07
Fractional positions:
Li 0.1980 0.3220 0.0615
Li 0.2032 0.3707 0.4929
Li 0.7968 0.6293 0.5071
Li 0.8020 0.6780 0.9385
Mn 0.3230 0.7763 0.2192
Mn 0.6770 0.2237 0.7808
P 0.2374 0.9532 0.7998
P 0.2711 0.6382 0.6743
P 0.7289 0.3618 0.3257
P 0.7626 0.0468 0.2002
O 0.0568 0.0404 0.1541
O 0.0933 0.5432 0.8322
O 0.1634 0.6528 0.4999
O 0.2815 0.8742 0.6421
O 0.3260 0.1670 0.7149
O 0.4129 0.8060 0.9553
O 0.4412 0.4612 0.2990
O 0.5588 0.5388 0.7010
O 0.5871 0.1940 0.0447
O 0.6740 0.8330 0.2851
O 0.7185 0.1258 0.3579
O 0.8366 0.3472 0.5001
O 0.9067 0.4568 0.1678
O 0.9432 0.9596 0.8459

---

So which one is most stable? That would be <2>, about 18 meV/atom below the next structure.

---

<1>
The following is a DFT calculation (meta-GGA SCAN) of a PBEsol-optimized structure of Mg2SbPb.

Its density of states at the Fermi level is 1.432 states/eV/cell. Its space group is Immm, No. 71.

abc: 5.4474 5.4474 5.4474
angles: 130.03 125.34 77.19
Fractional positions:
Mg 0.2491 0.2491 0.0000
Mg 0.7509 0.7509 0.0000
Sb 0.0000 0.5000 0.5000
Pb 0.5000 0.0000 0.5000

---

<2>
The following is a DFT calculation (meta-GGA SCAN) of a PBEsol-optimized structure of Mg2SbPb.

Its density of states at the Fermi level is 4.166 states/eV/cell. Its space group is Fdd2, No. 43.

abc: 6.9895 6.0544 7.9666
angles: 57.89 47.20 74.90
Fractional positions:
Mg 0.2660 0.7340 0.2671
Mg 0.5171 0.9829 0.5160
Mg 0.7340 0.2660 0.7329
Mg 0.9829 0.5171 0.9840
Sb 0.4993 0.4993 0.5007
Sb 0.7493 0.7493 0.7507
Pb 0.0012 0.0012 0.9988
Pb 0.2512 0.2512 0.2488

---

So which one is most stable? That would be <1>, about 31 meV/atom below the next structure.

---

<1>
The following is a DFT calculation (meta-GGA SCAN) of a PBEsol-optimized structure of Sc2IrRh.

Its density of states at the Fermi level is 1.107 states/eV/cell. Its space group is P4/mmm, No. 123.

abc: 3.1465 3.1465 6.5300
angles: 90.00 90.00 90.00
Fractional positions:
Sc 0.0000 0.0000 0.2505
Sc 0.0000 0.0000 0.7495
Ir 0.5000 0.5000 0.0000
Rh 0.5000 0.5000 0.5000

---

<2>
The following is a DFT calculation (meta-GGA SCAN) of a PBEsol-optimized structure of Sc2IrRh.

Its density of states at the Fermi level is 1.625 states/eV/cell. Its space group is Pmm2, No. 25.

abc: 2.9885 4.2523 5.3037
angles: 90.00 90.00 90.00
Fractional positions:
Sc 0.0000 0.0000 0.0000
Sc 0.5000 0.5000 0.3526
Ir 0.0000 0.0000 0.5001
Rh 0.5000 0.5000 0.8477

---

So which one is most stable? That would be <1>, about 394 meV/atom below the next structure.

---

<1>
The following is a DFT calculation (meta-GGA SCAN) of a PBEsol-optimized structure of As2BrCl.

Its density of states at the Fermi level is 1.603 states/eV/cell. Its space group is Immm, No. 71.

abc: 5.5272 5.5272 5.5272
angles: 146.10 118.69 71.94
Fractional positions:
As 0.2481 0.2481 0.0000
As 0.7519 0.7519 0.0000
Br 0.5000 0.0000 0.5000
Cl 0.0000 0.5000 0.5000

---

<2>
The following is a DFT calculation (meta-GGA SCAN) of a PBEsol-optimized structure of As2BrCl.

Its density of states at the Fermi level is 2.803 states/eV/cell. Its space group is R-3m, No. 166.

abc: 9.0901 9.0901 9.0901
angles: 20.40 20.40 20.40
Fractional positions:
As 0.2486 0.2486 0.2486
As 0.7514 0.7514 0.7514
Br 0.0000 0.0000 0.0000
Cl 0.5000 0.5000 0.5000

---

So which one is most stable? That would be <1>, about 149 meV/atom below the next structure.

---

<1>
The following is a DFT calculation (meta-GGA SCAN) of a PBEsol-optimized structure of Cs2AuBr.

Its density of states at the Fermi level is 0.000 states/eV/cell. Its space group is I-42d, No. 122.

abc: 9.7199 9.7199 9.7199
angles: 131.22 131.22 71.46
Fractional positions:
Cs 0.1234 0.6250 0.9984
Cs 0.3750 0.3734 0.4984
Cs 0.6266 0.1250 0.0016
Cs 0.8750 0.8766 0.5016
Au 0.0000 0.0000 0.0000
Au 0.7500 0.2500 0.5000
Br 0.2500 0.7500 0.5000
Br 0.5000 0.5000 0.0000

---

<2>
The following is a DFT calculation (meta-GGA SCAN) of a PBEsol-optimized structure of Cs2AuBr.

Its density of states at the Fermi level is 0.000 states/eV/cell. Its space group is Fm-3m, No. 225.

abc: 5.9585 5.9585 5.9585
angles: 60.00 60.00 60.00
Fractional positions:
Cs 0.2500 0.2500 0.2500
Cs 0.7500 0.7500 0.7500
Au 0.0000 0.0000 0.0000
Br 0.5000 0.5000 0.5000

---

So which one is most stable? That would be <2>, about 161 meV/atom below the next structure.